No. 1
Below is crystalline SrP2RhAu at its relaxed geometry, with properties calculated at the PBE level.

a b c (Å): 4.8248 4.8248 5.1380
angles (deg): 90.00 90.00 90.00
Space group P4/mmm (No. 123)
One atom of each set of equivalent atoms:
Sr: 0.0000 0.0000 0.0000 x1
P: 0.0000 0.5000 0.5000 x2
Rh: 0.5000 0.5000 0.0000 x1
Au: 0.5000 0.5000 0.5000 x1

Values from the calculation:
- calculated formation energy (kJ/mol of formula units) = 191


No. 2
Below is crystalline Th2P3Rh4Au at its relaxed geometry, with properties calculated at the PBE level.

a b c (Å): 4.0067 4.0067 10.9807
angles (deg): 90.00 90.00 90.00
Space group P-4m2 (No. 115)
One atom of each set of equivalent atoms:
Th: 0.0000 0.5000 0.2480 x2
P: 0.0000 0.5000 0.8766 x2
P: 0.5000 0.5000 0.5000 x1
Rh: 0.0000 0.0000 0.0000 x1
Rh: 0.0000 0.5000 0.6699 x2
Rh: 0.5000 0.5000 0.0000 x1
Au: 0.0000 0.0000 0.5000 x1

Values from the calculation:
- calculated formation energy (kJ/mol of formula units) = -925


No. 3
Below is crystalline ThP2Rh5Au at its relaxed geometry, with properties calculated at the PBE level.

a b c (Å): 4.0189 4.0189 10.3473
angles (deg): 90.00 90.00 90.00
Space group P4/mmm (No. 123)
One atom of each set of equivalent atoms:
Th: 0.0000 0.0000 0.0000 x1
P: 0.5000 0.5000 0.2207 x2
Rh: 0.0000 0.5000 0.3193 x4
Rh: 0.5000 0.5000 0.0000 x1
Au: 0.0000 0.0000 0.5000 x1

Values from the calculation:
- calculated formation energy (kJ/mol of formula units) = -419


No. 4
Below is crystalline Tm3P2Rh5Au2 at its relaxed geometry, with properties calculated at the PBE level.

a b c (Å): 3.9981 3.9981 26.1595
angles (deg): 90.00 90.00 90.00
Space group I4/mmm (No. 139)
One atom of each set of equivalent atoms:
Tm: 0.0000 0.0000 0.0000 x2
Tm: 0.0000 0.0000 0.1626 x4
P: 0.0000 0.0000 0.3740 x4
Rh: 0.0000 0.0000 0.5000 x2
Rh: 0.0000 0.5000 0.0814 x8
Au: 0.0000 0.0000 0.2758 x4

Values from the calculation:
- calculated formation energy (kJ/mol of formula units) = -1126


No. 5
Below is crystalline PRu2Au at its relaxed geometry, with properties calculated at the PBE level.

a b c (Å): 2.8288 4.5112 4.7285
angles (deg): 90.00 90.00 90.00
Space group Pmmm (No. 47)
One atom of each set of equivalent atoms:
P: 0.0000 0.0000 0.0000 x1
Ru: 0.0000 0.5000 0.5000 x1
Ru: 0.5000 0.5000 0.0000 x1
Au: 0.5000 0.0000 0.5000 x1

Values from the calculation:
- calculated formation energy (kJ/mol of formula units) = 210


No. 6
Below is crystalline PRuAu2 at its relaxed geometry, with properties calculated at the PBE level.

a b c (Å): 5.2275 10.0617 3.1315
angles (deg): 90.00 126.11 90.00
Space group C2/m (No. 12)
One atom of each set of equivalent atoms:
P: 0.0000 0.0000 0.0000 x2
Ru: 0.0000 0.5000 0.0000 x2
Au: 0.2500 0.2500 0.5000 x4

Values from the calculation:
- calculated formation energy (kJ/mol of formula units) = 151


No. 7
Below is crystalline P2RuAu at its relaxed geometry, with properties calculated at the PBE level.

a b c (Å): 6.1919 6.1919 6.1919
angles (deg): 90.00 90.00 90.00
Space group Fm-3m (No. 225)
One atom of each set of equivalent atoms:
P: 0.2500 0.2500 0.2500 x8
Ru: 0.0000 0.0000 0.0000 x4
Au: 0.0000 0.0000 0.5000 x4

Values from the calculation:
- calculated formation energy (kJ/mol of formula units) = 158


No. 8
Below is crystalline PRuAu2 at its relaxed geometry, with properties calculated at the PBE level.

a b c (Å): 2.8183 4.1427 5.6118
angles (deg): 90.00 90.00 90.00
Space group Pmmm (No. 47)
One atom of each set of equivalent atoms:
P: 0.0000 0.0000 0.0000 x1
Ru: 0.0000 0.0000 0.5000 x1
Au: 0.5000 0.5000 0.2511 x2

Values from the calculation:
- calculated formation energy (kJ/mol of formula units) = 200


Taking the records one at a time from the top gives total magnetic moment values of 0.159, 0.000, 0.000, 0.000, 0.000, 0.000, 0.000, 0.246 μB/atom.